Entry 1:
Density functional theory data (PBE) for a geometry-optimized Ba2POs structure.

Values from the calculation:
Its space group is P4mm (99). Its formation energy is 0.18 eV/atom.

Cell: 3.3268 3.3268 9.9443 Å, 90.00 90.00 90.00°
With the nearest neighbours (Å) after each atom.
Element x y z (fractional)
Ba1 0.0000 0.0000 0.0000  4 Ba 3.33, 1 Os 3.35, 4 P 3.41
Ba2 0.5000 0.5000 0.4120  4 Ba 3.33, 1 P 3.38, 4 Os 3.43
P1 0.5000 0.5000 0.7516  4 Os 2.51
Os1 0.0000 0.0000 0.6628  4 P 2.51

***

Entry 2:
Density functional theory data (PBE) for a geometry-optimized EuMg4Hg structure.

Values from the calculation:
Its space group is F-43m (216). Its formation energy is -0.03 eV/atom.

Cell: 6.0611 6.0611 6.0611 Å, 60.00 60.00 60.00°
With the nearest neighbours (Å) after each atom.
Element x y z (fractional)
Eu1 0.0000 0.0000 0.0000  12 Mg 3.55, 4 Hg 3.71
Mg1 0.1247 0.6251 0.6251  6 Mg 3.03
Mg2 0.6251 0.1247 0.6251  6 Mg 3.03
Mg3 0.6251 0.6251 0.1247  6 Mg 3.03
Mg4 0.6251 0.6251 0.6251  6 Mg 3.03
Hg1 0.2500 0.2500 0.2500  12 Mg 3.55, 4 Eu 3.71

***

Entry 3:
Density functional theory data (PBE) for a geometry-optimized SrTe2As2 structure.

Values from the calculation:
The raw formation energy is -423 meV/atom. Its space group is P4/mbm (127).

Cell: 8.3207 8.3207 4.1831 Å, 90.00 90.00 90.00°
With the nearest neighbours (Å) after each atom.
Element x y z (fractional)
Sr1 0.0000 0.0000 0.0000  4 As 3.23
Sr2 0.5000 0.5000 0.0000  4 As 3.23
Te1 0.2131 0.2869 0.5000  2 As 2.74
Te2 0.2869 0.7869 0.5000  2 As 2.74
Te3 0.7131 0.2131 0.5000  2 As 2.74
Te4 0.7869 0.7131 0.5000  2 As 2.74
As1 0.1358 0.6358 0.0000  2 Te 2.74
As2 0.3642 0.1358 0.0000  2 Te 2.74
As3 0.6358 0.8642 0.0000  2 Te 2.74
As4 0.8642 0.3642 0.0000  2 Te 2.74

***

Entry 4:
Density functional theory data (PBE) for a geometry-optimized PPt2W structure.

Values from the calculation:
Its space group is C2/m (12). Its formation energy is -0.05 eV/atom.

Cell: 5.0380 5.0380 4.3274 Å, 90.20 90.20 34.26°
With the nearest neighbours (Å) after each atom.
Element x y z (fractional)
P1 0.0000 0.0000 0.0000  2 Pt 2.37, 4 W 2.62
Pt1 0.2192 0.2192 0.2533  1 P 2.37
Pt2 0.7808 0.7808 0.7467  1 P 2.37
W1 0.5000 0.5000 0.5000  4 P 2.62, 6 Pt 2.79-2.90

***

Entry 5:
Density functional theory data (PBE) for a geometry-optimized Zr12AlIn3 structure.

Values from the calculation:
Its space group is P4/mmm (123). Its formation energy is -0.26 eV/atom.

Cell: 4.4543 4.4543 17.7708 Å, 90.00 90.00 90.00°
With the nearest neighbours (Å) after each atom.
Element x y z (fractional)
Zr1 0.0000 0.0000 0.0000  8 Zr 3.09, 4 Al 3.15
Zr2 0.0000 0.0000 0.2475  4 In 3.15, 8 Zr 3.16-3.17
Zr3 0.0000 0.0000 0.5000  4 In 3.15, 8 Zr 3.16
Zr4 0.0000 0.0000 0.7525  4 In 3.15, 8 Zr 3.16-3.17
Zr5 0.0000 0.5000 0.1203  8 Zr 3.09-3.17, 2 Al 3.09, 2 In 3.17
Zr6 0.0000 0.5000 0.3738  8 Zr 3.15-3.16, 4 In 3.16
Zr7 0.0000 0.5000 0.6262  8 Zr 3.15-3.16, 4 In 3.16
Zr8 0.0000 0.5000 0.8797  8 Zr 3.09-3.17, 2 Al 3.09, 2 In 3.17
Zr9 0.5000 0.0000 0.1203  8 Zr 3.09-3.17, 2 Al 3.09, 2 In 3.17
Zr10 0.5000 0.0000 0.3738  8 Zr 3.15-3.16, 4 In 3.16
Zr11 0.5000 0.0000 0.6262  8 Zr 3.15-3.16, 4 In 3.16
Zr12 0.5000 0.0000 0.8797  8 Zr 3.09-3.17, 2 Al 3.09, 2 In 3.17
Al1 0.5000 0.5000 0.0000  12 Zr 3.09-3.15
In1 0.5000 0.5000 0.2475  12 Zr 3.15-3.17
In2 0.5000 0.5000 0.5000  12 Zr 3.15-3.16
In3 0.5000 0.5000 0.7525  12 Zr 3.15-3.17

***

Entry 6:
Density functional theory data (PBE) for a geometry-optimized Pr2YAlO structure.

Values from the calculation:
The raw formation energy is -1311 meV/atom. Its space group is P4/mmm (123).

Cell: 5.0069 5.0069 4.7134 Å, 90.00 90.00 90.00°
With the nearest neighbours (Å) after each atom.
Element x y z (fractional)
Pr1 0.0000 0.5000 0.0000  2 O 2.50
Pr2 0.5000 0.0000 0.0000  2 O 2.50
Y1 0.0000 0.0000 0.5000  2 O 2.36
Al1 0.5000 0.5000 0.5000  8 Pr 3.44, 4 Y 3.54
O1 0.0000 0.0000 0.0000  2 Y 2.36, 4 Pr 2.50

***

Entry 7:
Density functional theory data (PBE) for a geometry-optimized TcRhW2 structure.

Values from the calculation:
Its space group is C2/m (12). Its formation energy is 0.07 eV/atom.

Cell: 4.8002 4.8002 4.8732 Å, 99.27 99.27 33.57°
With the nearest neighbours (Å) after each atom.
Element x y z (fractional)
Tc1 0.0000 0.0000 0.0000  6 W 2.75-2.81, 2 Tc 2.77, 4 Rh 2.80
Rh1 0.5000 0.5000 0.5000  6 W 2.76-2.80, 2 Rh 2.77, 4 Tc 2.80
W1 0.2466 0.2466 0.7480  3 Tc 2.75-2.81, 3 Rh 2.76-2.80, 6 W 2.77-2.81
W2 0.7534 0.7534 0.2520  3 Tc 2.75-2.81, 3 Rh 2.76-2.80, 6 W 2.77-2.81

***

Entry 8:
Density functional theory data (PBE) for a geometry-optimized Li5B6C6 structure.

Values from the calculation:
Its space group is P-3m1 (164). Its formation energy is -0.26 eV/atom.

Cell: 2.7423 2.7423 20.4934 Å, 90.00 90.00 120.00°
With the nearest neighbours (Å) after each atom.
Element x y z (fractional)
Li1 0.0000 0.0000 0.0000  6 C 2.37, 6 B 2.37
Li2 0.0000 0.0000 0.1722  6 C 2.36-2.37, 6 B 2.37
Li3 0.0000 0.0000 0.3450  6 C 2.33-2.39, 6 B 2.38
Li4 0.0000 0.0000 0.6550  6 C 2.33-2.39, 6 B 2.38
Li5 0.0000 0.0000 0.8278  6 C 2.36-2.37, 6 B 2.37
B1 0.3333 0.6667 0.0860  3 C 1.58
B2 0.3333 0.6667 0.4319  3 C 1.58
B3 0.3333 0.6667 0.7419  3 C 1.58
B4 0.6667 0.3333 0.2581  3 C 1.58
B5 0.6667 0.3333 0.5681  3 C 1.58
B6 0.6667 0.3333 0.9140  3 C 1.58
C1 0.3333 0.6667 0.2578  3 B 1.58
C2 0.3333 0.6667 0.5713  3 B 1.58
C3 0.3333 0.6667 0.9140  3 B 1.58
C4 0.6667 0.3333 0.0860  3 B 1.58
C5 0.6667 0.3333 0.4287  3 B 1.58
C6 0.6667 0.3333 0.7422  3 B 1.58

***

no.,mass density (g/cm³),final energy (eV/atom)
1,7.48,-4.94
2,4.74,-2.85
3,5.65,-3.88
4,16.25,-7.66
5,6.90,-7.42
6,5.81,-6.26
7,15.42,-10.83
8,2.14,-6.43